[1]
Y2PbF after structural relaxation, computed with PBE.

abc: 7.3365 7.3365 6.3463
angles: 54.69 54.69 90.00
Fractional coordinates of all 8 atoms:
Pb: 0.0000 0.0000 0.0000
Pb: 0.7500 0.2500 0.5000
Y: 0.5407 0.1250 0.2500
Y: 0.2093 0.6250 0.2500
Y: 0.3750 0.4593 0.7500
Y: 0.8750 0.7907 0.7500
F: 0.5000 0.5000 0.0000
F: 0.2500 0.7500 0.5000

## Properties
M_tot = 0.250 μB per atom
raw formation energy = -137.4 kJ per mole of atoms
SG = I-42d (122)
DOS at the Fermi energy = 0.5162 states/eV/atom
E_tot = -6.05 eV per atom
distance to the lowest polymorph of the same formula = 0.01 eV per formula unit

=====

[2]
Y3PbF after structural relaxation, computed with PBE.

abc: 4.9322 4.9322 4.9322
angles: 90.00 90.00 90.00
Fractional coordinates of all 5 atoms:
Pb: 0.5000 0.5000 0.5000
Y: 0.0000 0.5000 0.0000
Y: 0.0000 0.0000 0.5000
Y: 0.5000 0.0000 0.0000
F: 0.0000 0.0000 0.0000

## Properties
M_tot = 0.000 μB per atom
raw formation energy = -98.3 kJ per mole of atoms
SG = Pm-3m (221)
DOS at the Fermi energy = 1.0337 states/eV/atom
E_tot = -6.01 eV per atom
distance to the lowest polymorph of the same formula = 0.00 eV per formula unit

=====

[3]
YPb2F8 after structural relaxation, computed with PBE.

abc: 3.9577 5.6230 7.6077
angles: 108.05 105.08 90.00
Fractional coordinates of all 11 atoms:
Y: 0.5000 0.0000 0.0000
Pb: 0.8263 0.3240 0.6526
Pb: 0.1737 0.6760 0.3474
F: 0.4076 0.5877 0.8152
F: 0.6525 0.9517 0.3050
F: 0.7791 0.6921 0.5582
F: 0.9747 0.1899 0.9494
F: 0.2209 0.3079 0.4418
F: 0.3475 0.0483 0.6950
F: 0.5924 0.4123 0.1848
F: 0.0253 0.8101 0.0506

## Properties
M_tot = 0.000 μB per atom
raw formation energy = -272.6 kJ per mole of atoms
SG = C2/m (12)
DOS at the Fermi energy = 0.6985 states/eV/atom
E_tot = -5.45 eV per atom
distance to the lowest polymorph of the same formula = 0.03 eV per formula unit

=====

[4]
Y2Pb2F after structural relaxation, computed with PBE.

abc: 8.1545 8.1545 4.2156
angles: 90.00 90.00 90.00
Fractional coordinates of all 10 atoms:
Pb: 0.3711 0.8711 0.0000
Pb: 0.8711 0.6289 0.0000
Pb: 0.6289 0.1289 0.0000
Pb: 0.1289 0.3711 0.0000
Y: 0.1770 0.6770 0.5000
Y: 0.6770 0.8230 0.5000
Y: 0.8230 0.3230 0.5000
Y: 0.3230 0.1770 0.5000
F: 0.0000 0.0000 0.0000
F: 0.5000 0.5000 0.0000

## Properties
M_tot = 0.000 μB per atom
raw formation energy = -63.6 kJ per mole of atoms
SG = P4/mbm (127)
DOS at the Fermi energy = 0.9815 states/eV/atom
E_tot = -5.10 eV per atom
distance to the lowest polymorph of the same formula = 2.81 eV per formula unit

=====

- E_tot of number 4 (Y2Pb2F)?
  -5.10 eV per atom

=====

- Which of these has the lowest DOS at the Fermi energy?
  Y2PbF